SrV2InO8 (PBE+U, optimized geometry); raw total energy = -80.71 eV for the cell shown; symmetry = No. 119; ρ = 4.145 g cm⁻³
1.0
6.100 0.030 0.000
-2.679 5.481 0.000
-1.711 -2.756 5.167
O V Sr In
8 2 1 1
Direct
0.342 0.147 0.805 O
0.395 0.072 0.323 O
0.853 0.658 0.195 O
0.928 0.605 0.677 O
0.928 0.251 0.323 O
0.749 0.072 0.677 O
0.342 0.536 0.195 O
0.464 0.658 0.805 O
0.750 0.250 0.500 V
0.500 0.500 0.000 V
0.000 0.000 0.000 Sr
0.250 0.750 0.500 In